Fe2PAu | PBE | optimized geometry

```
Fe2PAu
1.0
-4.414 -0.240 -5.221
-2.184 -3.737 -5.298
2.039 0.872 6.472
Fe P Au
2 1 1
Cartesian
-6.493 -3.913 -10.351 Fe
-2.292 -0.349 -1.135 Fe
-3.593 -2.165 -5.729 P
-2.079 -2.641 -2.612 Au
```

Space group: Imm2 (44)
Electronic total energy, eV/atom: -6.43
Mass density, g/cm³: 10.12